Record 1
DFT (PBE) results for crystalline Li3Mg at its relaxed geometry.

```
Li3Mg
1.0
-2.8762 -0.8552 -0.6912
1.4478 -2.1322 -3.3866
0.6732 -5.0839 3.4886
Li Mg
3 1
Cartesian
0.6723 -5.0772 3.4839 Li
-0.2094 -5.3066 0.5775 Li
0.3375 -2.5487 1.7489 Li
-0.5459 -2.7646 -1.1668 Mg
```

For the density of states at the Fermi level, the calculation gives 2.0 states/eV/f.u. For the total DFT energy (no corrections), the calculation gives -7.43 eV for the cell shown. Its space-group type is Pmmm (47). The energy of formation from the pure elements is -0.0244 eV per atom.

=====

Record 2
DFT (PBE) results for crystalline Li2CaRh at its relaxed geometry.

```
Li2CaRh
1.0
-3.5108 -1.4320 1.3898
1.9650 -2.9706 1.9031
0.0767 3.4976 9.6646
Li Ca Rh
4 2 2
Cartesian
-0.6505 1.1662 8.3590 Li
1.0377 -1.0677 3.6886 Li
-1.1667 -1.4230 10.2540 Li
-2.1587 -0.4854 3.6134 Li
-0.7729 -2.2013 1.6464 Ca
0.6344 -0.8371 6.6071 Ca
0.0000 0.0000 0.0000 Rh
-2.1035 -0.0678 6.3504 Rh
```

For the density of states at the Fermi level, the calculation gives 2.2 states/eV/f.u. For the total DFT energy (no corrections), the calculation gives -26.18 eV for the cell shown. Its space-group type is I-42d (122). The energy of formation from the pure elements is 0.0221 eV per atom.

=====

Record 3
DFT (PBE) results for crystalline LiNp4S5 at its relaxed geometry.

```
LiNp4S5
1.0
4.9671 0.0000 2.3957
2.4835 6.1683 1.1979
-0.1962 0.0000 6.7537
Np S Li
4 5 1
Cartesian
5.8458 4.9395 6.9348 Np
1.4195 1.2289 3.4179 Np
2.8266 2.4618 6.8474 Np
4.4387 3.7065 3.5052 Np
1.9552 3.7204 2.3069 S
5.3099 2.4479 8.0456 S
2.4878 0.0000 1.1999 S
3.3562 4.9399 5.7493 S
3.9090 1.2284 4.6032 S
0.0036 0.0000 0.0017 Li
```

For the density of states at the Fermi level, the calculation gives 26.1 states/eV/f.u. Its uncorrected formation energy is -1.366 eV/atom. For the total DFT energy (no corrections), the calculation gives -87.98 eV for the cell shown. Its space-group type is I4/m (87).

=====

Record 4
DFT (PBE) results for crystalline ZrBeRe2Ge at its relaxed geometry.

```
ZrBeRe2Ge
1.0
4.1948 0.0000 0.0000
0.0000 4.5517 0.0000
0.0000 0.0000 4.1948
Be Ge Zr Re
1 1 1 2
Cartesian
0.0000 0.0000 0.0000 Be
2.0974 2.2759 2.0974 Ge
0.0000 2.2759 0.0000 Zr
2.0974 0.0000 0.0000 Re
0.0000 0.0000 2.0974 Re
```

For the density of states at the Fermi level, the calculation gives 3.6 states/eV/f.u. For the total DFT energy (no corrections), the calculation gives -39.09 eV for the cell shown. Its space-group type is P4/mmm (123). The energy of formation from the pure elements is 0.5387 eV per atom.

=====

- Which of these has the highest total DFT energy (no corrections)?
  Li3Mg

=====

- total DFT energy (no corrections) of number 4 (ZrBeRe2Ge)?
  -39.09 eV for the cell shown

=====

- total DFT energy (no corrections) of number 4 (ZrBeRe2Ge)?
  -39.09 eV for the cell shown

=====

- The lowest total DFT energy (no corrections) belongs to which entry?
  LiNp4S5